# LiCoPbO4

Crystalline LiCoPbO4 at its relaxed geometry (GGA+U, the Alexandria database).

```
data_LiCoPbO4
_chemical_formula_sum 'Li2 Co2 Pb2 O8'
_cell_length_a 6.196
_cell_length_b 6.196
_cell_length_c 6.196
_cell_angle_alpha 123.19
_cell_angle_beta 115.53
_cell_angle_gamma 91.24
_space_group_name_H-M_alt 'P 1'
_space_group_IT_number 1
loop_
_space_group_symop_operation_xyz
'x,y,z'
loop_
_atom_site_label
_atom_site_fract_x
_atom_site_fract_y
_atom_site_fract_z
Li1 0.366 0.116 0.250
Li2 0.634 0.884 0.750
Co1 0.000 0.000 0.500
Co2 0.000 0.500 0.000
Pb1 0.000 0.500 0.500
Pb2 0.500 0.500 0.000
O1 0.199 0.250 0.949
O2 0.199 0.750 0.449
O3 0.224 0.224 0.501
O4 0.224 0.723 0.999
O5 0.776 0.277 0.001
O6 0.776 0.776 0.499
O7 0.801 0.250 0.551
O8 0.801 0.750 0.051
```

Summary:
- size of the total moment (μB/cell) = 0.000
- SG = Imma
- density (Mg/m³) = 6.630
- uncorrected energy (eV per atom) = -5.52